Entry 1:
# KLi2GeP

Crystalline KLi2GeP at its relaxed geometry (PBEsol, Alexandria via LeMat-Bulk).

Cell and atoms, written as extended XYZ:
```
5
Lattice="-3.9510 2.4293 0.9244 -0.3446 -2.1567 4.1948 2.9267 3.9045 2.2479" Properties=species:S:1:pos:R:3 pbc="T T T"
Li -0.1723 -1.0784 2.0974
Li -1.9755 1.2147 0.4622
P 1.4633 1.9523 1.1240
Ge -0.6845 2.0886 3.6836
K 0.0000 0.0000 0.0000
```

Space group   P4/mmm
Total magnetization   0.00 μB per cell
Energy of formation   0.91 eV per atom

Entry 2:
# KAlO2

Crystalline KAlO2 at its relaxed geometry (PBEsol, Alexandria via LeMat-Bulk).

Cell and atoms, written as extended XYZ:
```
16
Lattice="-5.0463 2.0027 -0.9750 -2.2043 -4.8375 1.4717 -0.4478 2.4240 7.2970" Properties=species:S:1:pos:R:3 pbc="T T T"
Al -4.7834 2.3796 5.0132
Al -2.0977 -0.8202 0.1437
Al -2.9150 -2.7904 2.7805
Al -5.3767 -0.8026 4.0015
K -3.1782 -1.4837 6.3951
K -5.2532 -2.0539 0.3599
K -2.2213 0.4311 3.7853
K -4.5201 1.0730 1.3986
O -4.9091 0.9015 4.0639
O -6.1248 -1.2420 5.5342
O -3.8926 -1.7436 3.8054
O -6.3994 -1.0555 2.5902
O -3.9636 2.1872 6.5601
O -1.3650 1.0024 6.2803
O -1.5075 0.4736 1.1828
O -2.6315 -2.1666 1.1581
```

Space group   P4_12_12
E_form (uncorrected)   -2570 meV per atom
Total magnetization   0.00 μB per cell

Entry 3:
# CrTc2W

Crystalline CrTc2W at its relaxed geometry (PBEsol, Alexandria via LeMat-Bulk).

Cell and atoms, written as extended XYZ:
```
4
Lattice="-1.3206 -0.4109 -2.6935 3.7760 -1.1199 -1.6806 -1.9932 -3.3127 3.1846" Properties=species:S:1:pos:R:3 pbc="T T T"
Tc -1.0523 -2.2936 -0.8360
Tc 0.4740 -4.7803 -1.2050
Cr 1.5171 -2.5361 -0.3569
W 1.2132 -0.8425 -2.1682
```

Space group   Imm2
Total magnetization   0.00 μB per cell
Energy of formation   0.09 eV per atom

Entry 4:
# ZrSbMo2

Crystalline ZrSbMo2 at its relaxed geometry (PBEsol, Alexandria via LeMat-Bulk).

Cell and atoms, written as extended XYZ:
```
4
Lattice="3.0303 0.0000 0.0080 0.0000 4.7696 0.0000 -0.2229 0.0000 5.1490" Properties=species:S:1:pos:R:3 pbc="T T T"
Mo 0.9998 0.0000 1.4290
Mo 1.8076 0.0000 3.7280
Zr -0.1114 2.3848 2.5745
Sb 1.5151 2.3848 0.0040
```

Space group   P2/m
E_form (uncorrected)   116 meV per atom
Total magnetization   0.00 μB per cell

Entry 5:
# In2RePt

Crystalline In2RePt at its relaxed geometry (PBEsol, Alexandria via LeMat-Bulk).

Cell and atoms, written as extended XYZ:
```
4
Lattice="-0.3235 2.1150 -1.9089 -0.9620 -2.6163 -2.7358 -5.8721 0.5183 1.5693" Properties=species:S:1:pos:R:3 pbc="T T T"
Pt -0.6428 -0.2506 -2.3224
In -1.4789 0.1305 0.3952
In -4.3933 0.3878 1.1741
Re -3.5788 0.0085 -1.5377
```

Space group   Pmmm
Energy above the lowest structure with this stoichiometry   1.64 kcal/mol of atoms
Total magnetization   0.00 μB per cell
Energy of formation   0.20 eV per atom

Entry 6:
# MgSc5

Crystalline MgSc5 at its relaxed geometry (PBEsol, Alexandria via LeMat-Bulk).

Cell and atoms, written as extended XYZ:
```
6
Lattice="4.5034 0.0000 0.0000 0.0000 4.5111 0.0000 -2.2517 0.0000 6.9142" Properties=species:S:1:pos:R:3 pbc="T T T"
Sc 2.2517 2.2556 2.3649
Sc 0.0000 0.0000 2.2922
Sc 0.0000 2.2556 4.5493
Sc 0.0000 2.2556 0.0000
Sc 2.2517 0.0000 4.6220
Mg 2.2517 0.0000 0.0000
```

Space group   Cmmm
Energy above the lowest structure with this stoichiometry   0.63 kcal/mol of atoms
Total magnetization   0.00 μB per cell
Energy of formation   0.04 eV per atom

> total magnetization of number 4 (ZrSbMo2)?

0.00 μB per cell

> What is the total magnetization in the fourth record?

0.00 μB per cell

> Look up the total magnetization of the fourth one.

0.00 μB per cell